Record 1
Material: PrErP2
Method: DFT, GGA-PBE
State: optimized geometry

Structure (POSCAR):
```
PrErP2
1.0
2.046 1.181 6.665
-2.046 1.181 6.665
0.000 -2.362 6.665
Pr Er P
1 1 2
Direct
0.000 0.000 0.000 Pr
0.500 0.500 0.500 Er
0.245 0.245 0.245 P
0.755 0.755 0.755 P
```

magnetization	0.00	μB/f.u.
energy of formation from the pure elements	-1.5493	eV per atom
ρ	6.36	g/cm³

=====

Record 2
Material: LiAsC3
Method: DFT, GGA-PBE
State: optimized geometry

Structure (POSCAR):
```
LiAsC3
1.0
3.948 0.000 0.000
0.000 3.948 0.000
0.000 0.000 3.948
Li As C
1 1 3
Direct
0.000 0.000 0.000 Li
0.500 0.500 0.500 As
0.000 0.500 0.500 C
0.500 0.000 0.500 C
0.500 0.500 0.000 C
```

magnetization	0.00	μB/f.u.
energy of formation from the pure elements	2.3895	eV per atom
ρ	3.18	g/cm³

=====

Record 3
Material: Na2SrNpO6
Method: DFT, GGA-PBE
State: optimized geometry

Structure (POSCAR):
```
Na2SrNpO6
1.0
5.887 0.000 0.000
0.000 6.103 0.000
-5.794 0.000 8.426
Na Sr Np O
4 2 2 12
Direct
0.232 0.039 0.234 Na
0.232 0.461 0.734 Na
0.768 0.539 0.266 Na
0.768 0.961 0.766 Na
0.000 0.000 0.500 Sr
0.000 0.500 0.000 Sr
0.500 0.000 0.000 Np
0.500 0.500 0.500 Np
0.171 0.160 0.960 O
0.171 0.340 0.460 O
0.267 0.728 0.920 O
0.267 0.772 0.420 O
0.394 0.079 0.782 O
0.394 0.421 0.282 O
0.606 0.579 0.718 O
0.606 0.921 0.218 O
0.733 0.228 0.580 O
0.733 0.272 0.080 O
0.829 0.660 0.540 O
0.829 0.840 0.040 O
```

magnetization	1.01	μB/f.u.
uncorrected formation energy	-2.25	eV/atom
ρ	5.12	g/cm³

=====

Record 4
Material: BaAg2Pb5
Method: DFT, GGA-PBE
State: optimized geometry

Structure (POSCAR):
```
BaAg2Pb5
1.0
-2.328 4.539 5.873
2.328 -4.539 5.873
2.328 4.539 -5.873
Ba Ag Pb
1 2 5
Direct
0.000 0.000 0.000 Ba
0.239 0.739 0.500 Ag
0.761 0.261 0.500 Ag
0.152 0.347 0.805 Pb
0.457 0.653 0.805 Pb
0.500 0.000 0.500 Pb
0.543 0.347 0.195 Pb
0.848 0.653 0.195 Pb
```

magnetization	0.00	μB/f.u.
energy of formation from the pure elements	-0.1230	eV per atom
ρ	9.29	g/cm³